Material: La2Pm2Dy7
Method: DFT, GGA-PBE
State: relaxed

```
La2Pm2Dy7
1.0
5.679 -5.845 0.000
5.679 5.845 0.000
-2.487 0.000 5.622
La Pm Dy
2 2 7
Cartesian
0.348 0.000 1.760
8.523 0.000 3.862
5.679 2.461 0.000
5.679 -2.461 0.000
2.912 2.801 1.812
0.754 0.000 5.212
5.959 2.801 3.809
4.435 0.000 2.811
2.912 -2.801 1.812
8.116 0.000 0.410
5.959 -2.801 3.809
```

## Properties
- energy of formation (eV/atom) = 0.1469
- D(E_F) (states/eV/f.u.) = 18.259
- ΔE to the lowest computed polymorph (meV per atom) = 0